1.
Density functional theory data (PBE-GGA) for a relaxed structure of TlCdGa2Pd.

Its final energy is -3.01 eV per atom. As for the formation energy from the elements: -103 meV/atom. As for the volume: 24.83 A^3/atom. As for the magnetization: 0.0 μB per formula unit.

The structure belongs to space group P4/mmm (No. 123); the cell edges are 4.849, 4.849 and 5.279 Å and the angles 90.00°, 90.00° and 90.00°. The asymmetric unit holds Tl at (0.000, 0.000, 0.000), Cd at (0.500, 0.500, 0.000), Ga at (0.000, 0.500, 0.500) and Pd at (0.500, 0.500, 0.500).

=====

2.
Density functional theory data (PBE-GGA) for a relaxed structure of TmCdGa2Pd2.

Its final energy is -4.26 eV per atom. As for the formation energy from the elements: -621 meV/atom. As for the volume: 18.42 A^3/atom. As for the magnetization: 0.0 μB per formula unit.

The structure belongs to space group P-3m1 (No. 164); the cell edges are 4.4548, 4.4548 and 6.4305 Å and the angles 90.00°, 90.00° and 120.00°. The asymmetric unit holds Tm at (0.0000, 0.0000, 0.0000), Cd at (0.0000, 0.0000, 0.5000), Ga at (0.3333, 0.6667, 0.2621) and Pd at (0.3333, 0.6667, 0.7206).